Ge2BiCl2 | PBE | optimized geometry

Geometry as POSCAR:
```
Ge2BiCl2
1.0
-2.550 -0.865 -8.454
8.496 -0.052 -2.557
0.076 -3.356 0.321
Bi Cl Ge
2 4 4
Cartesian
2.973 -0.459 -5.506
0.000 0.000 0.000
5.859 -2.266 -7.371
5.039 -1.820 -2.514
0.982 -2.453 -8.177
0.163 -2.007 -3.319
0.078 -0.641 -6.733
4.212 -0.706 -8.390
1.734 -0.211 -2.621
5.868 -0.276 -4.278
```

**D(E_F)**: 3.315 states/eV per cell
**ΔE to the lowest computed polymorph**: 0 meV per atom
**E_tot**: -3.494 eV/atom
**Raw formation energy**: -0.66 eV per formula unit
**Total moment**: 0.00 μB/atom